Record 1
A PBEsol-optimized structure of MgGa2AsRu. Source: Alexandria, functional meta-GGA SCAN.

Results
M_tot in Bohr magnetons per cell: 1.64
DOS at the Fermi energy in states/eV per cell: 2.13
Energy of formation in eV per atom: 0.288

abc: 4.6671 4.6671 4.9766
angles: 90.00 90.00 90.00
Last column: nearest neighbours and their distance in Å.
Fractional positions:
Ru 0.0000 0.0000 0.0000  4 Ga 2.33, 2 Mg 2.49
As 0.5000 0.5000 0.5000  4 Mg 3.30, 8 Ga 3.41
Ga 0.5000 0.0000 0.0000  2 Ru 2.33
Ga 0.0000 0.5000 0.0000  2 Ru 2.33
Mg 0.0000 0.0000 0.5000  2 Ru 2.49



Record 2
A PBEsol-optimized structure of GaMoAs2. Source: Alexandria, functional meta-GGA SCAN.

Results
M_tot in Bohr magnetons per cell: 3.43
DOS at the Fermi energy in states/eV per cell: 4.65
Energy of formation in eV per atom: 0.202

abc: 5.7364 5.7364 6.9097
angles: 114.53 114.53 90.00
Last column: nearest neighbours and their distance in Å.
Fractional positions:
Ga 0.7500 0.2500 0.5000  4 As 2.50
Ga 0.5000 0.5000 0.0000  4 As 2.50
Mo 0.0000 0.0000 0.0000  4 As 2.43
Mo 0.2500 0.7500 0.5000  4 As 2.43
As 0.8855 0.3750 0.2500  2 Mo 2.43, 2 Ga 2.50
As 0.3645 0.8750 0.2500  2 Mo 2.43, 2 Ga 2.50
As 0.1250 0.1145 0.7500  2 Mo 2.43, 2 Ga 2.50
As 0.6250 0.6355 0.7500  2 Mo 2.43, 2 Ga 2.50



Record 3
A PBEsol-optimized structure of Ga2MoAsPd. Source: Alexandria, functional meta-GGA SCAN.

Results
M_tot in Bohr magnetons per cell: 0.00
DOS at the Fermi energy in states/eV per cell: 2.79
Energy of formation in eV per atom: 0.966

abc: 4.7543 4.7871 4.7871
angles: 90.00 90.00 90.00
Last column: nearest neighbours and their distance in Å.
Fractional positions:
Ga 0.0000 0.0000 0.5000  2 Mo 2.39
Ga 0.0000 0.5000 0.0000  2 Mo 2.39
Mo 0.0000 0.0000 0.0000  2 Pd 2.38, 4 Ga 2.39
As 0.5000 0.5000 0.5000  8 Ga 3.37, 4 Pd 3.38
Pd 0.5000 0.0000 0.0000  2 Mo 2.38



Record 4
A PBEsol-optimized structure of GaAsN3. Source: Alexandria, functional meta-GGA SCAN.

Results
M_tot in Bohr magnetons per cell: 0.00
E_form (uncorrected) in meV per atom: 1776
DOS at the Fermi energy in states/eV per cell: 3.49

abc: 3.8343 3.8343 3.8343
angles: 90.00 90.00 90.00
Last column: nearest neighbours and their distance in Å.
Fractional positions:
Ga 0.0000 0.0000 0.0000  6 N 1.92
N 0.0000 0.0000 0.5000  2 Ga 1.92
N 0.0000 0.5000 0.0000  2 Ga 1.92
N 0.5000 0.0000 0.0000  2 Ga 1.92
As 0.5000 0.5000 0.5000  12 N 2.71



> Which value of DOS at the Fermi energy does entry 2 give?

4.65 states/eV per cell